Density functional theory data (GGA-PBE) for crystalline VGe3S at its relaxed geometry.

Values from the calculation:
Total DFT energy (no corrections): -22.7 eV for the cell shown
Raw formation energy: 872 meV/atom
DOS(E_F): 6.09 states/eV/cell
ΔE to the lowest computed polymorph: 383 meV per atom

Cell lengths 4.789, 4.789, 4.789 Å; angles 90.00, 90.00, 90.00 degrees
Positions (direct):
V  0.000  0.000  0.000
Ge  0.000  0.500  0.500
Ge  0.500  0.000  0.500
Ge  0.500  0.500  0.000
S  0.500  0.500  0.500